Record 1
{"formula": "La2ErAl", "functional": "PBE", "state": "relaxed", "relative_energy_ev_per_fu": 0.62, "formation_energy_ev_per_atom": -0.01, "total_magnetization_mub_per_cell": 0.00, "crystal_system": "trigonal", "lattice_angstrom": [[-2.377, 1.461, 4.713], [-2.882, -3.671, 2.867], [1.949, -1.903, 4.755]], "species": ["Er", "Al", "La", "La"], "frac_coords": [[0.499, 0.499, 0.502], [0.751, 0.751, 0.747], [0.248, 0.248, 0.256], [0.002, 0.002, 0.995]]}

***

Record 2
{"formula": "SrPmNi", "functional": "PBE", "state": "relaxed", "relative_energy_ev_per_fu": 0.05, "formation_energy_ev_per_atom": -0.03, "total_magnetization_mub_per_cell": 0.00, "crystal_system": "trigonal", "lattice_angstrom": [[6.892, 0.000, 0.000], [0.000, 4.102, 0.000], [0.000, -2.051, 3.552]], "species": ["Pm", "Ni", "Sr"], "frac_coords": [[0.221, 0.333, 0.667], [0.024, 0.000, 0.000], [0.755, 0.667, 0.333]]}

***

Record 3
{"formula": "MnS2", "functional": "PBE", "state": "relaxed", "e_form_raw_mev_per_atom": -245, "total_magnetization_mub_per_cell": 0.00, "crystal_system": "tetragonal", "lattice_angstrom": [[4.643, -3.230, 2.240], [-0.483, 0.892, 5.998], [-4.325, -1.869, -3.848]], "species": ["S", "S", "Mn", "S", "Mn", "S"], "frac_coords": [[0.670, 0.125, 0.045], [0.875, 0.920, 0.545], [0.750, 0.250, 0.500], [0.375, 0.330, 0.455], [0.000, 0.000, 0.000], [0.080, 0.625, 0.955]]}

***

Record 4
{"formula": "HfMg3Al", "functional": "PBE", "state": "relaxed", "relative_energy_ev_per_fu": 0.00, "formation_energy_ev_per_atom": 0.77, "total_magnetization_mub_per_cell": 0.00, "crystal_system": "cubic", "lattice_angstrom": [[4.987, 0.000, 0.000], [0.000, 4.987, 0.000], [0.000, 0.000, 4.987]], "species": ["Mg", "Hf", "Al", "Mg", "Mg"], "frac_coords": [[0.000, 0.500, 0.000], [0.500, 0.500, 0.500], [0.000, 0.000, 0.000], [0.500, 0.000, 0.000], [0.000, 0.000, 0.500]]}

***

Record 5
{"formula": "NdCdP2Pd5", "functional": "PBE", "state": "relaxed", "formation_energy_ev_per_atom": -0.59, "total_magnetization_mub_per_cell": 0.00, "crystal_system": "tetragonal", "lattice_angstrom": [[-3.296, 1.200, 2.901], [-3.132, -1.542, -2.921], [0.355, -6.868, 3.244]], "species": ["Pd", "P", "Cd", "Pd", "Nd", "Pd", "Pd", "Pd", "P"], "frac_coords": [[0.500, 0.000, 0.244], [0.500, 0.500, 0.849], [0.000, 0.000, 0.000], [0.000, 0.500, 0.756], [0.000, 0.000, 0.500], [0.500, 0.000, 0.756], [0.500, 0.500, 0.500], [0.000, 0.500, 0.244], [0.500, 0.500, 0.151]]}

***

Record 6
{"formula": "Y2Be3Ir2", "functional": "PBE", "state": "relaxed", "formation_energy_ev_per_atom": -0.55, "total_magnetization_mub_per_cell": 0.00, "crystal_system": "monoclinic", "lattice_angstrom": [[-2.571, 1.145, -2.386], [-2.381, -1.798, 4.556], [2.483, 6.370, 0.382]], "species": ["Be", "Be", "Be", "Ir", "Y", "Y", "Ir"], "frac_coords": [[0.331, 0.661, 0.562], [0.669, 0.339, 0.438], [0.500, 0.000, 0.000], [0.867, 0.735, 0.796], [0.860, 0.721, 0.241], [0.140, 0.279, 0.759], [0.133, 0.265, 0.204]]}

***

Record 7
{"formula": "Cs2SbSF3", "functional": "PBE", "state": "relaxed", "e_form_raw_mev_per_atom": -1977, "total_magnetization_mub_per_cell": 0.00, "crystal_system": "orthorhombic", "lattice_angstrom": [[-2.673, 4.059, -2.114], [-1.482, -2.795, -3.492], [-4.075, -2.532, 6.936]], "species": ["Sb", "Cs", "S", "Cs", "F", "F", "F"], "frac_coords": [[0.000, 0.000, 0.000], [0.657, 0.657, 0.314], [0.500, 0.000, 0.000], [0.343, 0.343, 0.686], [0.854, 0.854, 0.707], [0.000, 0.500, 0.000], [0.146, 0.146, 0.293]]}

***

Record 8
{"formula": "Al3SiP", "functional": "PBE", "state": "relaxed", "e_form_raw_mev_per_atom": 534, "relative_energy_ev_per_fu": 0.00, "total_magnetization_mub_per_cell": 0.00, "crystal_system": "cubic", "lattice_angstrom": [[4.645, 0.000, 0.000], [0.000, 4.645, 0.000], [0.000, 0.000, 4.645]], "species": ["Al", "P", "Si", "Al", "Al"], "frac_coords": [[0.500, 0.000, 0.000], [0.000, 0.000, 0.000], [0.500, 0.500, 0.500], [0.000, 0.500, 0.000], [0.000, 0.000, 0.500]]}

***

Copy entry 1 word for word.
{"formula": "La2ErAl", "functional": "PBE", "state": "relaxed", "relative_energy_ev_per_fu": 0.62, "formation_energy_ev_per_atom": -0.01, "total_magnetization_mub_per_cell": 0.00, "crystal_system": "trigonal", "lattice_angstrom": [[-2.377, 1.461, 4.713], [-2.882, -3.671, 2.867], [1.949, -1.903, 4.755]], "species": ["Er", "Al", "La", "La"], "frac_coords": [[0.499, 0.499, 0.502], [0.751, 0.751, 0.747], [0.248, 0.248, 0.256], [0.002, 0.002, 0.995]]}